1.
3
Lattice="-4.3413 -1.8601 -4.1614 -4.2428 -3.6589 -2.4899 -1.9546 1.4255 0.4318" Properties=species:S:1:pos:R:3 comment="GGA-PBE FeCo2, relaxed" ef_ev_per_atom=0.038 energy_ev_per_fu=-22.6 n_ef_per_ev_cell=4.13 pbc="T T T"
Fe -4.1645 -0.8893 -1.9292
Co -8.5826 -5.5174 -6.6497
Co -6.3757 -3.2057 -4.2918

***

2.
10
Lattice="4.7079 0.0000 1.0759 0.0000 4.8296 0.0000 -0.4295 0.0000 12.7182" Properties=species:S:1:pos:R:3 comment="GGA-PBE Y3TmIn, relaxed" e_above_lowest_polymorph_mev_per_atom=0 ef_ev_per_atom=-0.188 energy_ev_per_fu=-27.5 n_ef_per_ev_cell=12.37 pbc="T T T"
Y 2.4895 1.2074 6.9720
Y 1.3802 1.2074 11.8263
Y 3.5806 1.2074 2.1977
Y 3.7502 3.6222 12.2939
Y 0.1333 3.6222 6.4438
Y 1.2426 3.6222 1.5895
Tm 0.6872 1.2074 4.0200
Tm 1.9356 3.6222 9.3958
In 4.2976 1.2074 9.8990
In 3.0333 3.6222 4.5927